DFT (GGA+U) results for a geometry-optimized MnVF4 structure.

Cell: 5.9719 4.9089 5.9626 Å, 90.00 112.04 90.00°
With the nearest neighbours (Å) after each atom.
Space group P2_1/c (No. 14)
One atom of each set of equivalent atoms:
Mn  0.0000  0.0000  0.0000 [2 per cell]  6 F 2.14-2.17
V  0.5000  0.0000  0.5000 [2 per cell]  6 F 2.13-2.14
F  0.1553  0.1935  0.3491 [4 per cell]  2 Mn 2.14-2.16, 1 V 2.14
F  0.3478  0.6993  0.6572 [4 per cell]  2 V 2.13-2.14, 1 Mn 2.17

Output
Energy = -76.988 eV/cell
Total magnetization = 8.0 μB/f.u.